1.
# HfTa2W

An optimized crystal structure of HfTa2W (PBE, Alexandria).

Calculated values
Uncorrected energy in eV per atom: -11.59
Polymorph energy (0 for the lowest one) in meV per atom: 32
Crystal system: cubic
D(E_F) in states/eV/cell: 19.3
Formation enthalpy at 0 K in kJ/mol of atoms: 5.8

Cell lengths 6.638, 6.638, 6.638 Å; angles 90.00, 90.00, 90.00 degrees
Element x y z (fractional)
Hf 0.000 0.000 0.000
Hf 0.000 0.500 0.500
Hf 0.500 0.000 0.500
Hf 0.500 0.500 0.000
Ta 0.250 0.250 0.250
Ta 0.250 0.250 0.750
Ta 0.250 0.750 0.250
Ta 0.250 0.750 0.750
Ta 0.750 0.250 0.250
Ta 0.750 0.250 0.750
Ta 0.750 0.750 0.250
Ta 0.750 0.750 0.750
W 0.000 0.000 0.500
W 0.000 0.500 0.000
W 0.500 0.000 0.000
W 0.500 0.500 0.500

=====

2.
# OsRhBr

An optimized crystal structure of OsRhBr (PBE, Alexandria).

Calculated values
Uncorrected energy in eV per atom: -5.71
Polymorph energy (0 for the lowest one) in meV per atom: 267
Crystal system: cubic
D(E_F) in states/eV/cell: 6.0
Energy relative to the elements, uncorrected in eV/atom: 1.042

Cell lengths 6.059, 6.059, 6.059 Å; angles 90.00, 90.00, 90.00 degrees
Element x y z (fractional)
Os 0.000 0.000 0.000
Os 0.000 0.500 0.500
Os 0.500 0.000 0.500
Os 0.500 0.500 0.000
Rh 0.250 0.250 0.250
Rh 0.250 0.750 0.750
Rh 0.750 0.250 0.750
Rh 0.750 0.750 0.250
Br 0.250 0.250 0.750
Br 0.250 0.750 0.250
Br 0.750 0.250 0.250
Br 0.750 0.750 0.750

=====

3.
# Tb2PtAu

An optimized crystal structure of Tb2PtAu (PBE, Alexandria).

Calculated values
Uncorrected energy in eV per atom: -5.73
Crystal system: monoclinic
D(E_F) in states/eV/cell: 4.3
Formation enthalpy at 0 K in kJ/mol of atoms: -104.9

Cell lengths 5.712, 4.605, 7.587 Å; angles 90.00, 109.92, 90.00 degrees
Element x y z (fractional)
Tb 0.217 0.250 0.435
Tb 0.232 0.250 0.927
Tb 0.768 0.750 0.073
Tb 0.783 0.750 0.565
Pt 0.326 0.750 0.707
Pt 0.674 0.250 0.293
Au 0.320 0.750 0.207
Au 0.680 0.250 0.793

=====

4.
# Er2MgSn

An optimized crystal structure of Er2MgSn (PBE, Alexandria).

Calculated values
Uncorrected energy in eV per atom: -4.05
Crystal system: tetragonal
D(E_F) in states/eV/cell: 2.0
Formation enthalpy at 0 K in kJ/mol of atoms: -35.8

Cell lengths 3.852, 3.852, 7.007 Å; angles 90.00, 90.00, 90.00 degrees
Element x y z (fractional)
Er 0.000 0.000 0.249
Er 0.000 0.000 0.751
Mg 0.500 0.500 0.500
Sn 0.500 0.500 0.000

=====

5.
# Sc2BeOs

An optimized crystal structure of Sc2BeOs (PBE, Alexandria).

Calculated values
Uncorrected energy in eV per atom: -6.19
Crystal system: orthorhombic
D(E_F) in states/eV/cell: 7.4
Formation enthalpy at 0 K in kJ/mol of atoms: 68.8

Cell lengths 2.756, 4.618, 10.451 Å; angles 90.00, 90.00, 90.00 degrees
Element x y z (fractional)
Sc 0.000 0.000 0.245
Sc 0.000 0.000 0.755
Sc 0.500 0.500 0.255
Sc 0.500 0.500 0.745
Be 0.000 0.000 0.000
Be 0.500 0.500 0.500
Os 0.000 0.000 0.500
Os 0.500 0.500 0.000

=====

6.
# LiTl2W

An optimized crystal structure of LiTl2W (PBE, Alexandria).

Calculated values
Uncorrected energy in eV per atom: -4.15
Polymorph energy (0 for the lowest one) in meV per atom: 269
Crystal system: tetragonal
D(E_F) in states/eV/cell: 2.8
Formation enthalpy at 0 K in kJ/mol of atoms: 72.6

Cell lengths 3.784, 3.784, 5.804 Å; angles 90.00, 90.00, 90.00 degrees
Element x y z (fractional)
Li 0.000 0.000 0.000
Tl 0.000 0.000 0.560
Tl 0.500 0.500 0.206
W 0.500 0.500 0.717

=====

7.
# AsOs3Cl

An optimized crystal structure of AsOs3Cl (PBE, Alexandria).

Calculated values
Uncorrected energy in eV per atom: -5.93
Polymorph energy (0 for the lowest one) in meV per atom: 32
Crystal system: cubic
D(E_F) in states/eV/cell: 7.5
Energy relative to the elements, uncorrected in eV/atom: 2.110

Cell lengths 4.641, 4.641, 4.641 Å; angles 90.00, 90.00, 90.00 degrees
Element x y z (fractional)
As 0.000 0.000 0.000
Os 0.000 0.000 0.500
Os 0.000 0.500 0.000
Os 0.500 0.000 0.000
Cl 0.500 0.500 0.500

=====

8.
# AgRuPbCl2

An optimized crystal structure of AgRuPbCl2 (PBE, Alexandria).

Calculated values
Uncorrected energy in eV per atom: -3.17
Crystal system: tetragonal
D(E_F) in states/eV/cell: 3.8
Energy relative to the elements, uncorrected in eV/atom: 0.739

Cell lengths 5.591, 5.591, 5.312 Å; angles 90.00, 90.00, 90.00 degrees
Element x y z (fractional)
Ag 0.000 0.000 0.000
Ru 0.500 0.500 0.000
Pb 0.500 0.500 0.500
Cl 0.000 0.500 0.500
Cl 0.500 0.000 0.500

=====

Sequential magnetic moment output: 0.00 0.00 0.00 0.00 0.00 0.00 3.59 2.40 μB/f.u.